# 1
This record from Alexandria via LeMat-Bulk describes a relaxed HgBPt2Br crystal. The functional is GGA-PBE.

Computed properties:
Density of states at the Fermi level in states/eV/f.u.: 3.1
Formation energy from raw total energies in eV/atom: 1.534

Cell: 5.237 5.237 4.088 Å, 90.00 90.00 90.00°
Space group P4/mmm (No. 123)
Inequivalent atoms, fractional coordinates:
Hg  0.000  0.000  0.000 [1 per cell]
B  0.000  0.000  0.500 [1 per cell]
Pt  0.000  0.500  0.000 [2 per cell]
Br  0.500  0.500  0.500 [1 per cell]

# 2
This record from Alexandria via LeMat-Bulk describes a relaxed CrRhW crystal. The functional is GGA-PBE.

Computed properties:
Density of states at the Fermi level in states/eV/f.u.: 1.5
Energy of formation from the pure elements in eV per atom: 0.0377
Excess energy over the best structure of this formula in the dataset in eV per formula unit: 0.00

Cell: 2.677 2.677 11.802 Å, 90.00 90.00 90.00°
Space group I4mm (No. 107)
Inequivalent atoms, fractional coordinates:
Cr  0.000  0.000  0.000 [2 per cell]
Rh  0.000  0.000  0.647 [2 per cell]
W  0.000  0.000  0.325 [2 per cell]

# 3
This record from Alexandria via LeMat-Bulk describes a relaxed CaLaTb2Pr6 crystal. The functional is GGA-PBE.

Computed properties:
Density of states at the Fermi level in states/eV/f.u.: 14.1
Energy of formation from the pure elements in eV per atom: 0.1157

Cell: 9.403 15.726 9.910 Å, 90.00 96.84 90.00°
Space group C2/c (No. 15)
Inequivalent atoms, fractional coordinates:
Ca  0.000  0.029  0.250 [4 per cell]
La  0.000  0.406  0.750 [4 per cell]
Tb  0.247  0.053  0.545 [8 per cell]
Pr  0.063  0.182  0.946 [8 per cell]
Pr  0.101  0.394  0.120 [8 per cell]
Pr  0.211  0.233  0.321 [8 per cell]

# 4
This record from Alexandria via LeMat-Bulk describes a relaxed PmTe3PbAu crystal. The functional is GGA-PBE.

Computed properties:
Formation energy from raw total energies in eV/atom: -0.718

Cell: 8.809 4.371 10.345 Å, 90.00 104.15 90.00°
Space group P2_1/m (No. 11)
Inequivalent atoms, fractional coordinates:
Pm  0.185  0.250  0.177 [2 per cell]
Te  0.081  0.250  0.855 [2 per cell]
Te  0.236  0.250  0.485 [2 per cell]
Te  0.428  0.750  0.140 [2 per cell]
Pb  0.291  0.750  0.731 [2 per cell]
Au  0.413  0.750  0.406 [2 per cell]

# 5
This record from Alexandria via LeMat-Bulk describes a relaxed TiInPd2Se crystal. The functional is GGA-PBE.

Computed properties:
Density of states at the Fermi level in states/eV/f.u.: 5.8
Formation energy from raw total energies in eV/atom: 0.805

Cell: 4.887 4.887 5.167 Å, 90.00 90.00 90.00°
Space group P4/mmm (No. 123)
Inequivalent atoms, fractional coordinates:
Ti  0.000  0.000  0.000 [1 per cell]
In  0.000  0.000  0.500 [1 per cell]
Pd  0.000  0.500  0.500 [2 per cell]
Se  0.500  0.500  0.000 [1 per cell]

# 6
This record from Alexandria via LeMat-Bulk describes a relaxed Pm6ErSc2 crystal. The functional is GGA-PBE.

Computed properties:
Density of states at the Fermi level in states/eV/f.u.: 12.8
Energy of formation from the pure elements in eV per atom: 0.1613
Excess energy over the best structure of this formula in the dataset in eV per formula unit: 0.26

Cell: 9.157 17.370 3.594 Å, 90.00 90.00 90.00°
Space group Cmmm (No. 65)
Inequivalent atoms, fractional coordinates:
Pm  0.179  0.166  0.000 [8 per cell]
Pm  0.183  0.000  0.500 [4 per cell]
Er  0.000  0.500  0.000 [2 per cell]
Sc  0.000  0.323  0.500 [4 per cell]

# 7
This record from Alexandria via LeMat-Bulk describes a relaxed CuSi3 crystal. The functional is GGA-PBE.

Computed properties:
Density of states at the Fermi level in states/eV/f.u.: 1.4
Formation energy from raw total energies in eV/atom: 0.384

Cell: 3.832 3.832 3.832 Å, 90.00 90.00 90.00°
Space group Pm-3m (No. 221)
Inequivalent atoms, fractional coordinates:
Cu  0.000  0.000  0.000 [1 per cell]
Si  0.000  0.500  0.500 [3 per cell]

# 8
This record from Alexandria via LeMat-Bulk describes a relaxed Tb4Ho8Tm3 crystal. The functional is GGA-PBE.

Computed properties:
Density of states at the Fermi level in states/eV/f.u.: 22.4
Energy of formation from the pure elements in eV per atom: 0.1391
Excess energy over the best structure of this formula in the dataset in eV per formula unit: 0.00

Cell: 6.8592 6.8592 34.9251 Å, 90.00 90.00 120.00°
Space group R-3m (No. 166, hexagonal axes)
Inequivalent atoms, fractional coordinates:
Tb  0.0000  0.0000  0.0000 [3 per cell]
Tb  0.0000  0.0000  0.1636 [6 per cell]
Tb  0.0000  0.0000  0.5000 [3 per cell]
Ho  0.0000  0.0000  0.2553 [6 per cell]
Ho  0.0019  0.5009  0.2508 [18 per cell]
Tm  0.0000  0.5000  0.0000 [9 per cell]

# 9
This record from Alexandria via LeMat-Bulk describes a relaxed KCu2Bi2 crystal. The functional is GGA-PBE.

Computed properties:
Density of states at the Fermi level in states/eV/f.u.: 2.3
Energy of formation from the pure elements in eV per atom: 0.1730

Cell: 8.771 8.771 3.245 Å, 90.00 90.00 90.00°
Space group P4/mbm (No. 127)
Inequivalent atoms, fractional coordinates:
K  0.000  0.000  0.000 [2 per cell]
Cu  0.139  0.361  0.500 [4 per cell]
Bi  0.145  0.645  0.000 [4 per cell]

# 10
This record from Alexandria via LeMat-Bulk describes a relaxed SiPPtBr2 crystal. The functional is GGA-PBE.

Computed properties:
Density of states at the Fermi level in states/eV/f.u.: 4.5
Formation energy from raw total energies in eV/atom: 0.795

Cell: 5.045 5.045 4.772 Å, 90.00 90.00 90.00°
Space group P4/mmm (No. 123)
Inequivalent atoms, fractional coordinates:
Si  0.000  0.000  0.000 [1 per cell]
P  0.500  0.500  0.500 [1 per cell]
Pt  0.000  0.000  0.500 [1 per cell]
Br  0.000  0.500  0.000 [2 per cell]

# 11
This record from Alexandria via LeMat-Bulk describes a relaxed CdIn3Hg3 crystal. The functional is GGA-PBE.

Computed properties:
Density of states at the Fermi level in states/eV/f.u.: 4.6
Energy of formation from the pure elements in eV per atom: 0.3111
Excess energy over the best structure of this formula in the dataset in eV per formula unit: 2.02

Cell: 8.143 8.143 8.143 Å, 90.00 90.00 90.00°
Space group Pm-3n (No. 223)
Inequivalent atoms, fractional coordinates:
Cd  0.000  0.000  0.000 [2 per cell]
In  0.000  0.250  0.500 [6 per cell]
Hg  0.000  0.500  0.250 [6 per cell]

# 12
This record from Alexandria via LeMat-Bulk describes a relaxed Nd2Sb4Pd3Au crystal. The functional is GGA-PBE.

Computed properties:
Density of states at the Fermi level in states/eV/f.u.: 3.5
Formation energy from raw total energies in eV/atom: -0.724

Cell: 4.606 4.606 11.008 Å, 90.00 90.00 90.00°
Space group P-4m2 (No. 115)
Inequivalent atoms, fractional coordinates:
Nd  0.000  0.500  0.239 [2 per cell]
Sb  0.000  0.000  0.500 [1 per cell]
Sb  0.000  0.500  0.865 [2 per cell]
Sb  0.500  0.500  0.500 [1 per cell]
Pd  0.000  0.000  0.000 [1 per cell]
Pd  0.000  0.500  0.631 [2 per cell]
Au  0.500  0.500  0.000 [1 per cell]